(1)
Here is a relaxed structure of TbPm2NdTh from Alexandria. Energies are from PBE-GGA.

The structure in CIF format:
```
data_TbPm2NdTh
_space_group_name_H-M_alt 'P 1'
_space_group_IT_number 1
_cell_length_a 8.4736
_cell_length_b 6.4233
_cell_length_c 6.6101
_cell_angle_alpha 76.30
_cell_angle_beta 90.00
_cell_angle_gamma 90.00
loop_
_space_group_symop_operation_xyz
'x,y,z'
loop_
_atom_site_label
_atom_site_fract_x
_atom_site_fract_y
_atom_site_fract_z
_atom_site_occupancy
Nd1 0.0939 0.5000 0.7500 1
Pm1 0.3291 0.2819 0.1615 1
Nd2 0.9061 0.5000 0.2500 1
Pm2 0.6709 0.2819 0.6615 1
Th1 0.0000 0.0000 0.5000 1
Pm3 0.3291 0.7181 0.3385 1
Pm4 0.6709 0.7181 0.8385 1
Tb1 0.6617 0.0000 0.2500 1
Tb2 0.3383 0.0000 0.7500 1
Th2 0.0000 0.0000 0.0000 1
```

Properties
formation energy from the elements: 0.251 eV per atom
density: 7.8 g/cm³
space group: P2/c
crystal system: monoclinic

---

(2)
Here is a relaxed structure of TbPmNdTh2 from Alexandria. Energies are from PBE-GGA.

The structure in CIF format:
```
data_TbPmNdTh2
_space_group_name_H-M_alt 'P 1'
_space_group_IT_number 1
_cell_length_a 6.7250
_cell_length_b 6.7221
_cell_length_c 8.5745
_cell_angle_alpha 113.08
_cell_angle_beta 90.00
_cell_angle_gamma 90.00
loop_
_space_group_symop_operation_xyz
'x,y,z'
loop_
_atom_site_label
_atom_site_fract_x
_atom_site_fract_y
_atom_site_fract_z
_atom_site_occupancy
Th1 0.5000 0.7483 0.0000 1
Nd1 0.7500 0.7446 0.4892 1
Tb1 0.2500 0.6511 0.3022 1
Th2 0.5000 0.2517 0.0000 1
Pm1 0.7500 0.1515 0.3029 1
Th3 0.0000 0.7483 0.0000 1
Nd2 0.2500 0.2554 0.5108 1
Pm2 0.2500 0.8485 0.6971 1
Th4 0.0000 0.2517 0.0000 1
Tb2 0.7500 0.3489 0.6978 1
```

Properties
formation energy from the elements: 0.373 eV per atom
density: 8.5 g/cm³
space group: Cmcm
crystal system: orthorhombic

---

(3)
Here is a relaxed structure of TbPmNd3Th from Alexandria. Energies are from PBE-GGA.

The structure in CIF format:
```
data_TbPmNd3Th
_space_group_name_H-M_alt 'P 1'
_space_group_IT_number 1
_cell_length_a 3.6643
_cell_length_b 9.7651
_cell_length_c 12.2241
_cell_angle_alpha 110.46
_cell_angle_beta 90.00
_cell_angle_gamma 90.00
loop_
_space_group_symop_operation_xyz
'x,y,z'
loop_
_atom_site_label
_atom_site_fract_x
_atom_site_fract_y
_atom_site_fract_z
_atom_site_occupancy
Th1 0.7500 0.8802 0.3795 1
Pm1 0.2500 0.6281 0.1304 1
Tb1 0.2500 0.1737 0.3519 1
Pm2 0.7500 0.3719 0.8696 1
Th2 0.2500 0.1198 0.6205 1
Nd1 0.2500 0.5782 0.4023 1
Nd2 0.2500 0.6831 0.8454 1
Tb2 0.7500 0.8263 0.6481 1
Nd3 0.2500 0.0701 0.8988 1
Nd4 0.7500 0.4218 0.5977 1
Nd5 0.7500 0.3169 0.1546 1
Nd6 0.7500 0.9299 0.1012 1
```

Properties
formation energy from the elements: 0.014 eV per atom
density: 7.9 g/cm³
space group: P2_1/m
crystal system: monoclinic

---

(4)
Here is a relaxed structure of Tb2PmNd4Th from Alexandria. Energies are from PBE-GGA.

The structure in CIF format:
```
data_Tb2PmNd4Th
_space_group_name_H-M_alt 'P 1'
_space_group_IT_number 1
_cell_length_a 5.1355
_cell_length_b 5.1324
_cell_length_c 11.5248
_cell_angle_alpha 63.50
_cell_angle_beta 90.00
_cell_angle_gamma 90.00
loop_
_space_group_symop_operation_xyz
'x,y,z'
loop_
_atom_site_label
_atom_site_fract_x
_atom_site_fract_y
_atom_site_fract_z
_atom_site_occupancy
Th1 0.5000 0.5000 0.0000 1
Nd1 0.0000 0.7459 0.7544 1
Nd2 0.5000 0.7528 0.2467 1
Nd3 0.0000 0.2541 0.2456 1
Tb1 0.0000 0.0000 0.0000 1
Pm1 0.0000 0.5000 0.5000 1
Tb2 0.5000 0.0000 0.5000 1
Nd4 0.5000 0.2472 0.7533 1
```

Properties
formation energy from the elements: 0.036 eV per atom
density: 7.8 g/cm³
space group: P2/m
crystal system: monoclinic

---

(5)
Here is a relaxed structure of TbPm6Nd3Th2 from Alexandria. Energies are from PBE-GGA.

The structure in CIF format:
```
data_TbPm6Nd3Th2
_space_group_name_H-M_alt 'P 1'
_space_group_IT_number 1
_cell_length_a 6.2920
_cell_length_b 6.2920
_cell_length_c 12.0923
_cell_angle_alpha 94.98
_cell_angle_beta 94.98
_cell_angle_gamma 119.92
loop_
_space_group_symop_operation_xyz
'x,y,z'
loop_
_atom_site_label
_atom_site_fract_x
_atom_site_fract_y
_atom_site_fract_z
_atom_site_occupancy
Th1 0.3333 0.6667 0.0000 1
Nd1 0.8333 0.1667 0.5000 1
Tb1 0.0000 0.0000 0.0000 1
Pm1 0.2560 0.2560 0.7555 1
Pm2 0.0811 0.4184 0.2444 1
Pm3 0.4184 0.0811 0.2444 1
Pm4 0.7440 0.7440 0.2445 1
Pm5 0.5816 0.9189 0.7556 1
Nd2 0.1667 0.8333 0.5000 1
Nd3 0.5000 0.5000 0.5000 1
Pm6 0.9189 0.5816 0.7556 1
Th2 0.6667 0.3333 0.0000 1
```

Properties
formation energy from the elements: 0.030 eV per atom
density: 7.8 g/cm³
space group: C2/m
crystal system: monoclinic

---

(6)
Here is a relaxed structure of Tb4PmNd2Th from Alexandria. Energies are from PBE-GGA.

The structure in CIF format:
```
data_Tb4PmNd2Th
_space_group_name_H-M_alt 'P 1'
_space_group_IT_number 1
_cell_length_a 3.6169
_cell_length_b 6.2947
_cell_length_c 13.2055
_cell_angle_alpha 61.43
_cell_angle_beta 90.00
_cell_angle_gamma 90.00
loop_
_space_group_symop_operation_xyz
'x,y,z'
loop_
_atom_site_label
_atom_site_fract_x
_atom_site_fract_y
_atom_site_fract_z
_atom_site_occupancy
Tb1 0.5000 0.5800 0.2549 1
Tb2 0.0000 0.9239 0.7485 1
Tb3 0.0000 0.0761 0.2515 1
Pm1 0.5000 0.5000 0.0000 1
Tb4 0.5000 0.4200 0.7451 1
Th1 0.0000 0.5000 0.5000 1
Nd1 0.0000 0.0000 0.0000 1
Nd2 0.5000 0.0000 0.5000 1
```

Properties
formation energy from the elements: 0.007 eV per atom
density: 8.2 g/cm³
space group: P2/m
crystal system: monoclinic

---

(7)
Here is a relaxed structure of Tb2Pm5NdTh from Alexandria. Energies are from PBE-GGA.

The structure in CIF format:
```
data_Tb2Pm5NdTh
_space_group_name_H-M_alt 'P 1'
_space_group_IT_number 1
_cell_length_a 5.7209
_cell_length_b 10.6155
_cell_length_c 10.5679
_cell_angle_alpha 90.00
_cell_angle_beta 90.00
_cell_angle_gamma 105.63
loop_
_space_group_symop_operation_xyz
'x,y,z'
loop_
_atom_site_label
_atom_site_fract_x
_atom_site_fract_y
_atom_site_fract_z
_atom_site_occupancy
Pm1 0.2766 0.5533 0.3149 1
Pm2 0.6115 0.2230 0.5268 1
Nd1 0.5896 0.1791 0.9483 1
Pm3 0.7057 0.4114 0.2052 1
Pm4 0.3885 0.7770 0.0268 1
Pm5 0.4777 0.9555 0.7407 1
Pm6 0.9841 0.9682 0.5224 1
Nd2 0.4104 0.8209 0.4483 1
Tb1 0.1160 0.2321 0.3198 1
Tb2 0.8859 0.7719 0.2329 1
Pm7 0.7234 0.4467 0.8149 1
Pm8 0.0159 0.0318 0.0224 1
Th1 0.1994 0.3989 0.0130 1
Th2 0.8006 0.6011 0.5130 1
Tb3 0.1141 0.2281 0.7329 1
Pm9 0.5223 0.0445 0.2407 1
Tb4 0.8840 0.7679 0.8198 1
Pm10 0.2943 0.5886 0.7052 1
```

Properties
formation energy from the elements: 0.158 eV per atom
density: 7.6 g/cm³
space group: Cmc2_1
crystal system: orthorhombic

---

(8)
Here is a relaxed structure of TbPm5Nd2Th from Alexandria. Energies are from PBE-GGA.

The structure in CIF format:
```
data_TbPm5Nd2Th
_space_group_name_H-M_alt 'P 1'
_space_group_IT_number 1
_cell_length_a 5.7255
_cell_length_b 10.6944
_cell_length_c 10.6097
_cell_angle_alpha 90.00
_cell_angle_beta 90.00
_cell_angle_gamma 105.53
loop_
_space_group_symop_operation_xyz
'x,y,z'
loop_
_atom_site_label
_atom_site_fract_x
_atom_site_fract_y
_atom_site_fract_z
_atom_site_occupancy
Nd1 0.1151 0.2301 0.7319 1
Nd2 0.8849 0.7699 0.2319 1
Th1 0.1988 0.3976 0.0123 1
Th2 0.8012 0.6024 0.5123 1
Pm1 0.0153 0.0307 0.0192 1
Pm2 0.6129 0.2258 0.5253 1
Pm3 0.2757 0.5513 0.3148 1
Tb1 0.5935 0.1871 0.9561 1
Nd3 0.1157 0.2314 0.3165 1
Pm4 0.7050 0.4100 0.2048 1
Pm5 0.4808 0.9615 0.7431 1
Pm6 0.7243 0.4487 0.8148 1
Pm7 0.3871 0.7742 0.0253 1
Nd4 0.8843 0.7686 0.8165 1
Pm8 0.5192 0.0385 0.2431 1
Pm9 0.2950 0.5900 0.7048 1
Tb2 0.4065 0.8129 0.4561 1
Pm10 0.9847 0.9693 0.5192 1
```

Properties
formation energy from the elements: 0.149 eV per atom
density: 7.5 g/cm³
space group: Cmc2_1
crystal system: orthorhombic

---

(9)
Here is a relaxed structure of Tb5Pm2NdTh from Alexandria. Energies are from PBE-GGA.

The structure in CIF format:
```
data_Tb5Pm2NdTh
_space_group_name_H-M_alt 'P 1'
_space_group_IT_number 1
_cell_length_a 5.6784
_cell_length_b 10.5116
_cell_length_c 10.5025
_cell_angle_alpha 90.00
_cell_angle_beta 90.00
_cell_angle_gamma 105.67
loop_
_space_group_symop_operation_xyz
'x,y,z'
loop_
_atom_site_label
_atom_site_fract_x
_atom_site_fract_y
_atom_site_fract_z
_atom_site_occupancy
Pm1 0.1142 0.2283 0.3202 1
Tb1 0.9835 0.9671 0.5230 1
Tb2 0.2757 0.5514 0.3175 1
Tb3 0.2977 0.5955 0.7088 1
Tb4 0.5215 0.0431 0.2378 1
Tb5 0.7243 0.4486 0.8175 1
Tb6 0.6120 0.2240 0.5247 1
Nd1 0.4116 0.8232 0.4486 1
Th1 0.2005 0.4009 0.0143 1
Tb7 0.7023 0.4045 0.2088 1
Th2 0.7995 0.5991 0.5143 1
Pm2 0.1161 0.2322 0.7292 1
Tb8 0.0165 0.0329 0.0230 1
Pm3 0.8839 0.7678 0.2292 1
Tb9 0.4785 0.9569 0.7378 1
Pm4 0.8858 0.7717 0.8202 1
Nd2 0.5884 0.1768 0.9486 1
Tb10 0.3880 0.7760 0.0247 1
```

Properties
formation energy from the elements: 0.160 eV per atom
density: 8.0 g/cm³
space group: Cmc2_1
crystal system: orthorhombic

---

(10)
Here is a relaxed structure of Tb2PmNdTh from Alexandria. Energies are from PBE-GGA.

The structure in CIF format:
```
data_Tb2PmNdTh
_space_group_name_H-M_alt 'P 1'
_space_group_IT_number 1
_cell_length_a 5.8242
_cell_length_b 6.3233
_cell_length_c 9.6494
_cell_angle_alpha 71.11
_cell_angle_beta 90.00
_cell_angle_gamma 90.00
loop_
_space_group_symop_operation_xyz
'x,y,z'
loop_
_atom_site_label
_atom_site_fract_x
_atom_site_fract_y
_atom_site_fract_z
_atom_site_occupancy
Pm1 0.7500 0.4686 0.3938 1
Pm2 0.2500 0.5314 0.6062 1
Th1 0.2500 0.9212 0.7962 1
Tb1 0.2500 0.1280 0.4057 1
Th2 0.7500 0.0788 0.2038 1
Nd1 0.7500 0.2484 0.8085 1
Tb2 0.7500 0.8720 0.5943 1
Tb3 0.7500 0.6632 0.9949 1
Nd2 0.2500 0.7516 0.1915 1
Tb4 0.2500 0.3368 0.0051 1
```

Properties
formation energy from the elements: 0.058 eV per atom
density: 8.3 g/cm³
space group: P2_1/m
crystal system: monoclinic

---

| no. | DOS at the Fermi energy (states/eV/atom) | total DFT energy (no corrections) (eV/atom) |
| --- | --- | --- |
| 1 | 1.76 | -5.01 |
| 2 | 1.59 | -5.42 |
| 3 | 1.38 | -5.17 |
| 4 | 1.45 | -5.03 |
| 5 | 1.51 | -5.16 |
| 6 | 1.27 | -5.02 |
| 7 | 1.46 | -4.86 |
| 8 | 1.45 | -4.89 |
| 9 | 1.57 | -4.82 |
| 10 | 1.67 | -5.18 |